(1)
Density functional theory data (GGA-PBEsol) for a relaxed structure of LaGe2Pt2.

Calculated values
V (Å³ per cell): 193.56
Density (Mg/m³): 11.6
Energy relative to the elements (eV per atom): -0.929
Total energy (eV per atom): -6.759

abc: 4.4233 4.4233 9.8931
angles: 90.00 90.00 90.00
Space group I4/mmm (No. 139)
Inequivalent atoms, fractional coordinates:
La: 0.0000 0.0000 0.0000
Ge: 0.0000 0.5000 0.2500
Pt: 0.0000 0.0000 0.3653

---

(2)
Density functional theory data (GGA-PBEsol) for a relaxed structure of LaGe2Pt2.

Calculated values
V (Å³ per cell): 381.28
Density (Mg/m³): 11.7
Energy relative to the elements (eV per atom): -1.002
Total energy (eV per atom): -6.832

abc: 9.7837 4.4219 8.8145
angles: 90.00 91.00 90.00
Space group P2_1/c (No. 14)
Inequivalent atoms, fractional coordinates:
La: 0.2428 0.2453 0.1286
Ge: 0.9998 0.2423 0.3746
Ge: 0.3787 0.6938 0.3913
Pt: 0.1242 0.7432 0.3775
Pt: 0.5004 0.1809 0.3590

---

(3)
Density functional theory data (GGA-PBEsol) for a relaxed structure of RbLaZr2Ge.

Calculated values
V (Å³ per cell): 161.66
Density (Mg/m³): 4.9
Energy relative to the elements (eV per atom): 1.161
Total energy (eV per atom): -4.737

abc: 5.2606 5.2606 5.8414
angles: 90.00 90.00 90.00
Space group P4/mmm (No. 123)
Inequivalent atoms, fractional coordinates:
Rb: 0.0000 0.0000 0.0000
La: 0.5000 0.5000 0.5000
Zr: 0.0000 0.5000 0.5000
Ge: 0.5000 0.5000 0.0000

---

(4)
Density functional theory data (GGA-PBEsol) for a relaxed structure of LaRe2Ge2.

Calculated values
V (Å³ per cell): 194.75
Density (Mg/m³): 11.2
Energy relative to the elements (eV per atom): -0.152
Total energy (eV per atom): -8.530

abc: 4.5523 4.5523 9.3972
angles: 90.00 90.00 90.00
Space group I4/mmm (No. 139)
Inequivalent atoms, fractional coordinates:
La: 0.0000 0.0000 0.0000
Re: 0.0000 0.0000 0.3776
Ge: 0.0000 0.5000 0.2500

---

(5)
Density functional theory data (GGA-PBEsol) for a relaxed structure of La2Ge2Rh.

Calculated values
V (Å³ per cell): 216.14
Density (Mg/m³): 8.1
Energy relative to the elements (eV per atom): -0.817
Total energy (eV per atom): -6.558

abc: 6.7517 6.7517 4.7416
angles: 90.00 90.00 90.00
Space group P4/mbm (No. 127)
Inequivalent atoms, fractional coordinates:
La: 0.1741 0.3259 0.0000
Ge: 0.1358 0.6358 0.5000
Rh: 0.0000 0.0000 0.5000

---

(6)
Density functional theory data (GGA-PBEsol) for a relaxed structure of LaGe2Rh2.

Calculated values
V (Å³ per cell): 180.97
Density (Mg/m³): 9.0
Energy relative to the elements (eV per atom): -0.929
Total energy (eV per atom): -7.229

abc: 4.1483 4.1483 10.5167
angles: 90.00 90.00 90.00
Space group I4/mmm (No. 139)
Inequivalent atoms, fractional coordinates:
La: 0.0000 0.0000 0.0000
Ge: 0.0000 0.0000 0.3739
Rh: 0.0000 0.5000 0.2500

---

(7)
Density functional theory data (GGA-PBEsol) for a relaxed structure of LaGe2Rh.

Calculated values
V (Å³ per cell): 321.82
Density (Mg/m³): 8.0
Energy relative to the elements (eV per atom): -0.899
Total energy (eV per atom): -6.740

abc: 4.3358 17.1397 4.3305
angles: 90.00 90.00 90.00
Space group Cmcm (No. 63)
Inequivalent atoms, fractional coordinates:
La: 0.0000 0.1083 0.2500
Ge: 0.0000 0.2501 0.7500
Ge: 0.0000 0.4597 0.2500
Rh: 0.0000 0.3198 0.2500

---

(8)
Density functional theory data (GGA-PBEsol) for a relaxed structure of LaGe3Ru.

Calculated values
V (Å³ per cell): 194.03
Density (Mg/m³): 7.8
Energy relative to the elements (eV per atom): -0.666
Total energy (eV per atom): -6.733

abc: 4.3857 4.3857 10.0876
angles: 90.00 90.00 90.00
Space group I4mm (No. 107)
Inequivalent atoms, fractional coordinates:
La: 0.0000 0.0000 0.0000
Ge: 0.0000 0.0000 0.5749
Ge: 0.0000 0.5000 0.2391
Ru: 0.0000 0.0000 0.3409

---

(9)
Density functional theory data (GGA-PBEsol) for a relaxed structure of LaGe2Ru2.

Calculated values
V (Å³ per cell): 182.62
Density (Mg/m³): 8.8
Energy relative to the elements (eV per atom): -0.679
Total energy (eV per atom): -7.793

abc: 4.2657 4.2657 10.0357
angles: 90.00 90.00 90.00
Space group I4/mmm (No. 139)
Inequivalent atoms, fractional coordinates:
La: 0.0000 0.0000 0.0000
Ge: 0.0000 0.0000 0.3656
Ru: 0.0000 0.5000 0.2500

---

(10)
Density functional theory data (GGA-PBEsol) for a relaxed structure of La4Ge3S12.

Calculated values
V (Å³ per cell): 2579.78
Density (Mg/m³): 4.5
Formation energy (no corrections) (eV/atom): -1.3647
Total energy (eV per atom): -6.039

abc: 19.2909 19.2909 8.0048
angles: 90.00 90.00 120.00
Space group R3c (No. 161, hexagonal axes)
Inequivalent atoms, fractional coordinates:
La: 0.0000 0.0000 0.0000
La: 0.0029 0.2310 0.2029
Ge: 0.1459 0.4660 0.3164
S: 0.0621 0.3900 0.5147
S: 0.0871 0.2004 0.4928
S: 0.1241 0.0608 0.7519
S: 0.1562 0.3779 0.1577

---

(11)
Density functional theory data (GGA-PBEsol) for a relaxed structure of LaTaGeS2.

Calculated values
V (Å³ per cell): 120.48
Density (Mg/m³): 6.3
Formation energy (no corrections) (eV/atom): 0.8981
Total energy (eV per atom): -5.423

abc: 4.7260 4.7260 5.3944
angles: 90.00 90.00 90.00
Space group P4/mmm (No. 123)
Inequivalent atoms, fractional coordinates:
La: 0.0000 0.0000 0.0000
Ta: 0.5000 0.5000 0.0000
Ge: 0.0000 0.0000 0.5000
S: 0.0000 0.5000 0.5000

---

(12)
Density functional theory data (GGA-PBEsol) for a relaxed structure of LaGe2Sb2.

Calculated values
V (Å³ per cell): 257.32
Density (Mg/m³): 6.8
Formation energy (no corrections) (eV/atom): -0.1953
Total energy (eV per atom): -5.063

abc: 4.3413 4.3413 13.6532
angles: 90.00 90.00 90.00
Space group I4/mmm (No. 139)
Inequivalent atoms, fractional coordinates:
La: 0.0000 0.0000 0.0000
Ge: 0.0000 0.0000 0.4126
Sb: 0.0000 0.5000 0.2500

---

(13)
Density functional theory data (GGA-PBEsol) for a relaxed structure of LaTl2GeSb.

Calculated values
V (Å³ per cell): 207.55
Density (Mg/m³): 5.9
Formation energy (no corrections) (eV/atom): 0.8460
Total energy (eV per atom): -3.175

abc: 5.9318 5.9318 5.8984
angles: 90.00 90.00 90.00
Space group P4/mmm (No. 123)
Inequivalent atoms, fractional coordinates:
La: 0.0000 0.0000 0.0000
Tl: 0.0000 0.5000 0.0000
Ge: 0.5000 0.5000 0.5000
Sb: 0.0000 0.0000 0.5000

---

(14)
Density functional theory data (GGA-PBEsol) for a relaxed structure of LaScGe3.

Calculated values
V (Å³ per cell): 152.93
Density (Mg/m³): 4.4
Energy relative to the elements (eV per atom): 0.775
Total energy (eV per atom): -4.579

abc: 5.3476 5.3476 5.3476
angles: 90.00 90.00 90.00
Space group Pm-3m (No. 221)
Inequivalent atoms, fractional coordinates:
La: 0.0000 0.0000 0.0000
Sc: 0.5000 0.5000 0.5000
Ge: 0.0000 0.0000 0.5000

---

(15)
Density functional theory data (GGA-PBEsol) for a relaxed structure of La2ScGe2.

Calculated values
V (Å³ per cell): 251.31
Density (Mg/m³): 6.2
Energy relative to the elements (eV per atom): -0.812
Total energy (eV per atom): -6.247

abc: 7.4648 7.4648 4.5099
angles: 90.00 90.00 90.00
Space group P4/mbm (No. 127)
Inequivalent atoms, fractional coordinates:
La: 0.1756 0.3244 0.0000
Sc: 0.0000 0.0000 0.5000
Ge: 0.1247 0.6247 0.5000

---

(16)
Density functional theory data (GGA-PBEsol) for a relaxed structure of LaTlGeSe4.

Calculated values
V (Å³ per cell): 1530.44
Density (Mg/m³): 6.4
Formation energy (no corrections) (eV/atom): -0.9516
Total energy (eV per atom): -4.997

abc: 7.0539 19.1843 11.3095
angles: 90.00 90.00 90.00
Space group Pbca (No. 61)
Inequivalent atoms, fractional coordinates:
La: 0.2272 0.0655 0.1057
Tl: 0.1705 0.1984 0.7538
Ge: 0.2158 0.1131 0.4453
Se: 0.0379 0.6846 0.9964
Se: 0.0692 0.5836 0.5983
Se: 0.0910 0.6599 0.2941
Se: 0.1244 0.0042 0.3584

---

(17)
Density functional theory data (GGA-PBEsol) for a relaxed structure of La2SiGe2.

Calculated values
V (Å³ per cell): 244.54
Density (Mg/m³): 6.1
Formation energy (no corrections) (eV/atom): -0.4662
Total energy (eV per atom): -5.730

abc: 3.7208 3.7208 17.6634
angles: 90.00 90.00 90.00
Space group I4/mmm (No. 139)
Inequivalent atoms, fractional coordinates:
La: 0.0000 0.0000 0.1027
Si: 0.0000 0.0000 0.5000
Ge: 0.0000 0.5000 0.2500

---

(18)
Density functional theory data (GGA-PBEsol) for a relaxed structure of SrLa2Ge2.

Calculated values
Energy above the most stable polymorph in this dataset (meV/atom): 180
V (Å³ per cell): 288.04
Density (Mg/m³): 5.9
Energy relative to the elements (eV per atom): -0.492
Total energy (eV per atom): -4.974

abc: 4.6565 4.6565 13.2841
angles: 90.00 90.00 90.00
Space group I4/mmm (No. 139)
Inequivalent atoms, fractional coordinates:
Sr: 0.0000 0.0000 0.0000
La: 0.0000 0.5000 0.2500
Ge: 0.0000 0.0000 0.4062

---

(19)
Density functional theory data (GGA-PBEsol) for a relaxed structure of SrLa2Ge2.

Calculated values
Energy above the most stable polymorph in this dataset (meV/atom): 0
V (Å³ per cell): 285.08
Density (Mg/m³): 5.9
Energy relative to the elements (eV per atom): -0.672
Total energy (eV per atom): -5.154

abc: 8.4941 8.4941 3.9513
angles: 90.00 90.00 90.00
Space group P4/mbm (No. 127)
Inequivalent atoms, fractional coordinates:
Sr: 0.0000 0.0000 0.0000
La: 0.1316 0.3684 0.5000
Ge: 0.1668 0.6668 0.0000

---

(20)
Density functional theory data (GGA-PBEsol) for a relaxed structure of LaTa2Ge2.

Calculated values
V (Å³ per cell): 201.12
Density (Mg/m³): 10.7
Energy relative to the elements (eV per atom): -0.563
Total energy (eV per atom): -8.628

abc: 4.0700 4.0700 12.1411
angles: 90.00 90.00 90.00
Space group I4/mmm (No. 139)
Inequivalent atoms, fractional coordinates:
La: 0.0000 0.0000 0.0000
Ta: 0.0000 0.5000 0.2500
Ge: 0.0000 0.0000 0.3933